# 1
4
Lattice="-0.6910 -11.6194 0.9335 1.6380 -11.0212 3.4944 -1.8027 -10.7636 4.1540" Properties=species:S:1:pos:R:3 comment="CsSc2Hg | Alexandria | PBE-GGA | optimized geometry" final_energy_ev_per_atom=-3.178 dos_at_fermi_per_ev_atom=0.974 space_group=R-3m volume_a3_per_cell=122.9 magmom_total_mub_per_atom=0.00 pbc="T T T"
Cs 0.0000 0.0000 0.0000
Sc -0.7678 -29.9748 7.7009
Sc -0.0878 -3.4294 0.8810
Hg -0.4278 -16.7021 4.2910

---

# 2
3
Lattice="3.1581 0.0000 0.0000 0.0000 5.3708 0.0000 0.0000 -2.6854 4.6513" Properties=species:S:1:pos:R:3 comment="CeLuIn | Alexandria | PBE-GGA | optimized geometry" final_energy_ev_per_atom=-4.435 dos_at_fermi_per_ev_atom=2.117 space_group=P3m1 e_above_lowest_polymorph_ev_per_atom=0.172 volume_a3_per_cell=78.9 magmom_total_mub_per_atom=0.50 pbc="T T T"
Lu 0.4966 0.0000 0.0000
Ce 0.5500 0.0000 3.1009
In 2.1116 2.6854 1.5504

---

# 3
4
Lattice="7.3777 -0.0063 -0.0074 6.7884 2.8894 -0.0074 1.0535 0.2144 3.7866" Properties=species:S:1:pos:R:3 comment="Cd2AsRu | Alexandria | PBE-GGA | optimized geometry" final_energy_ev_per_atom=-3.881 dos_at_fermi_per_ev_atom=0.476 space_group=Immm volume_a3_per_cell=80.9 magmom_total_mub_per_atom=0.00 pbc="T T T"
Ru 11.4147 2.3231 2.8289
As 3.8049 0.7744 0.9430
Cd 1.9285 0.3925 3.5357
Cd 6.7348 1.3707 2.1369

---

# 4
4
Lattice="-2.4413 -1.6177 2.0823 0.4980 -2.8465 -1.6277 5.8950 -5.6624 2.5123" Properties=species:S:1:pos:R:3 comment="ReSiPb2 | Alexandria | PBE-GGA | optimized geometry" final_energy_ev_per_atom=-5.312 formation_energy_uncorrected_mev_per_atom=1010 dos_at_fermi_per_ev_atom=0.781 space_group=P2/m volume_a3_per_cell=86.6 magmom_total_mub_per_atom=0.00 pbc="T T T"
Pb 0.1543 -0.2413 -0.0066
Pb 3.0422 -4.0132 0.4489
Re 0.3776 -2.9361 1.2623
Si 3.5741 -7.1906 1.7046

---

# 5
5
Lattice="-1.0645 -3.8973 -0.3143 3.8789 -1.0116 -0.5933 -0.7854 1.8775 5.5028" Properties=species:S:1:pos:R:3 comment="TmNiGe2Rh | Alexandria | PBE-GGA | optimized geometry" final_energy_ev_per_atom=-6.089 dos_at_fermi_per_ev_atom=0.838 space_group=I-4m2 volume_a3_per_cell=84.1 magmom_total_mub_per_atom=0.00 pbc="T T T"
Tm 0.0000 0.0000 0.0000
Ni 2.2504 -0.7943 2.2278
Ge 1.5570 -2.5935 0.7627
Ge 0.4720 -0.4380 3.8324
Rh -0.2213 -2.2372 2.3673

---

# 6
20
Lattice="-2.5527 3.9555 -3.2281 -6.3720 -3.8437 0.3290 -2.2230 4.2850 7.0084" Properties=species:S:1:pos:R:3 comment="Y2BAsPt6 | Alexandria | PBE-GGA | optimized geometry" final_energy_ev_per_atom=-6.892 dos_at_fermi_per_ev_atom=0.385 space_group=Pmmn volume_a3_per_cell=361.8 magmom_total_mub_per_atom=0.00 pbc="T T T"
Y -6.5187 0.3981 0.5959
Y -3.4918 2.2893 5.5664
Y -7.4910 2.2722 3.6612
Y -2.2411 -0.1216 1.6232
B -3.6786 3.3416 1.9568
B -5.0812 -3.0651 0.2623
As -5.4521 -0.4758 3.7283
As -3.3077 0.7524 -1.5092
Pt -2.8140 2.4619 0.1952
Pt -3.9213 4.5964 3.6863
Pt -5.9458 -2.1854 2.0240
Pt -7.0614 -0.0349 5.5412
Pt -8.0998 -0.7259 3.0414
Pt -9.4010 1.2904 1.3959
Pt -4.4383 1.5524 2.8098
Pt -5.6748 3.4684 1.2461
Pt -5.6377 0.7636 -2.2551
Pt -4.3215 -1.2759 -0.5906
Pt -0.6600 1.0025 -0.8223
Pt -1.9115 2.9416 -2.4048